This record from the Alexandria database describes NiAgPO2 after structural relaxation. The functional is GGA+U.

Lattice parameters (Å, degrees): 3.6599 3.6599 4.9136 90.00 90.00 90.00
With the nearest neighbours (Å) after each atom.
Space group P4/mmm (No. 123)
Unique sites:
Ni (0.0000, 0.0000, 0.0000) [1 per cell]  4 O 1.83
Ag (0.5000, 0.5000, 0.5000) [1 per cell]  4 P 2.59
P (0.0000, 0.0000, 0.5000) [1 per cell]  2 Ni 2.46, 4 Ag 2.59
O (0.0000, 0.5000, 0.0000) [2 per cell]  2 Ni 1.83

Computed properties:
total magnetization	1.4	μB/f.u.
offset from the most stable computed form	0.000	eV/atom